No. 1
The following is a DFT calculation (PBE-GGA) of a relaxed PrSmScTl crystal.

a b c (Å): 4.799 4.799 9.849
angles (deg): 90.00 90.00 90.00
Fractional positions:
Pr 0.500 0.500 0.000
Pr 0.000 0.000 0.000
Sm 0.000 0.500 0.740
Sm 0.500 0.000 0.260
Sc 0.000 0.000 0.500
Sc 0.500 0.500 0.500
Tl 0.500 0.000 0.720
Tl 0.000 0.500 0.280

Properties
Formation energy from the elements   -0.146 eV per atom
SG   P4/nmm
Final energy   -0.3451 Ry per atom
Relative energy among the computed polymorphs   0.000 eV/atom



No. 2
The following is a DFT calculation (PBE-GGA) of a relaxed PrSmScTl crystal.

a b c (Å): 5.493 5.493 5.493
angles (deg): 60.00 60.00 60.00
Fractional positions:
Pr 0.250 0.250 0.250
Sc 0.000 0.000 0.000
Tl 0.500 0.500 0.500
Sm 0.750 0.750 0.750

Properties
Formation energy from the elements   -0.079 eV per atom
SG   F-43m
Final energy   -0.3402 Ry per atom
Relative energy among the computed polymorphs   0.067 eV/atom



No. 3
The following is a DFT calculation (PBE-GGA) of a relaxed PrSmTmSc crystal.

a b c (Å): 3.818 5.672 6.710
angles (deg): 115.00 73.44 90.00
Fractional positions:
Pr 0.652 0.411 0.822
Sm 0.427 0.135 0.270
Tm 0.191 0.873 0.745
Sc 0.916 0.646 0.293

Properties
Formation energy from the elements   0.097 eV per atom
SG   Cm
Final energy   -0.3659 Ry per atom
Relative energy among the computed polymorphs   0.005 eV/atom



No. 4
The following is a DFT calculation (PBE-GGA) of a relaxed Pr2SmTm5Sc crystal.

a b c (Å): 5.560 10.202 10.432
angles (deg): 90.00 90.00 105.81
Fractional positions:
Pr 0.888 0.775 0.815
Pr 0.115 0.230 0.733
Pr 0.112 0.225 0.315
Pr 0.885 0.770 0.233
Sm 0.587 0.174 0.959
Sm 0.413 0.826 0.459
Tm 0.377 0.754 0.019
Tm 0.723 0.446 0.822
Tm 0.482 0.964 0.739
Tm 0.298 0.595 0.704
Tm 0.983 0.966 0.521
Tm 0.623 0.246 0.519
Tm 0.277 0.554 0.322
Tm 0.518 0.036 0.239
Tm 0.702 0.405 0.204
Tm 0.017 0.034 0.021
Sc 0.802 0.605 0.514
Sc 0.198 0.395 0.014

Properties
Formation energy from the elements   0.158 eV per atom
SG   Cmc2_1
Final energy   -0.3393 Ry per atom



Question: Which value of formation energy from the elements does entry 1 give?
Answer: -0.146 eV per atom